18
Lattice="0.2950 0.1907 -5.2096 -1.8122 -5.3572 -0.2988 -7.8524 2.5969 1.0638" Properties=species:S:1:pos:R:3 comment="Pu2CoO6 | the Alexandria database | PBE+U | optimized geometry" sg="P2_1/c, No. 14" energy_ev_per_atom=-9.322 volume_a3_per_cell=243.0 pbc="T T T"
Co -4.6847 -1.2848 -2.2223
Co 0.0000 0.0000 0.0000
O -5.1451 0.7102 -0.9142
O -6.0338 1.8574 -3.3632
O -5.4896 -2.0660 -0.6834
O -1.3230 -1.2365 -4.0924
O -3.3357 -4.4270 -1.0814
O -6.4330 -1.0190 -3.0419
O -8.0465 -1.3331 -0.3522
O -4.2244 -3.2799 -3.5304
O -2.9365 -1.5507 -1.4026
O -3.8799 -0.5036 -3.7612
O -1.7362 -4.2160 -3.8729
O -7.6333 1.6464 -0.5717
Pu -1.6033 -0.0736 -2.5551
Pu -3.2456 -2.3778 -4.9525
Pu -6.1239 -0.1918 0.5079
Pu -7.7662 -2.4960 -1.8895